Material: Sn3Hg4Pb4
Method: DFT, PBE-GGA
State: relaxed

The structure in POSCAR format:
```
Sn3Hg4Pb4
1.0
-3.385 -1.014 -0.277
1.037 -0.806 -9.727
3.771 -8.039 6.020
Sn Hg Pb
3 4 4
Direct
0.892 0.892 0.783
0.108 0.108 0.217
0.000 0.500 0.000
0.683 0.404 0.366
0.317 0.038 0.634
0.317 0.596 0.634
0.683 0.962 0.366
0.833 0.333 0.666
0.167 0.667 0.334
0.500 0.786 0.000
0.500 0.214 0.000
```

Output
- Space group: Immm
- Formation energy: 75 meV per atom
- Size of the total moment: 0.0 μB/f.u.

Material: SnHg2Pb
Method: DFT, PBE-GGA
State: relaxed

The structure in POSCAR format:
```
SnHg2Pb
1.0
-1.691 6.720 -4.788
-1.150 -5.031 -6.656
-4.555 0.582 -4.982
Pb Hg Sn
2 4 2
Direct
0.000 0.000 0.000
0.750 0.250 0.500
0.612 0.125 0.250
0.138 0.625 0.250
0.375 0.388 0.750
0.875 0.862 0.750
0.500 0.500 0.000
0.250 0.750 0.500
```

Output
- Space group: I-42d
- Formation energy: 89 meV per atom
- Size of the total moment: 0.0 μB/f.u.

Material: Sn2Hg2Pb7
Method: DFT, PBE-GGA
State: relaxed

The structure in POSCAR format:
```
Sn2Hg2Pb7
1.0
0.905 -4.320 4.905
6.284 2.011 -0.008
-3.762 6.112 3.759
Sn Hg Pb
2 2 7
Direct
0.600 0.600 0.812
0.400 0.400 0.188
0.284 0.716 0.500
0.716 0.284 0.500
0.882 0.493 0.174
0.507 0.118 0.826
0.118 0.507 0.826
0.493 0.882 0.174
0.000 0.000 0.000
0.827 0.827 0.562
0.173 0.173 0.438
```

Output
- Space group: C2/m
- Formation energy: 56 meV per atom
- Size of the total moment: 0.0 μB/f.u.
- Offset from the most stable computed form: 0 meV per atom

Material: SnHg4Pb2
Method: DFT, PBE-GGA
State: relaxed

The structure in POSCAR format:
```
SnHg4Pb2
1.0
-2.166 2.464 -0.810
-0.599 0.722 -3.246
-16.150 -12.381 -1.532
Sn Hg Pb
1 4 2
Direct
0.000 0.000 0.000
0.288 0.288 0.136
0.712 0.712 0.864
0.856 0.856 0.433
0.144 0.144 0.567
0.763 0.763 0.712
0.237 0.237 0.288
```

Output
- Space group: R-3m
- Formation energy: 52 meV per atom
- Size of the total moment: 0.0 μB/f.u.

Material: SnHg5Pb
Method: DFT, PBE-GGA
State: relaxed

The structure in POSCAR format:
```
SnHg5Pb
1.0
-1.725 2.243 4.139
-2.254 -4.263 1.370
6.600 -2.219 3.953
Sn Hg Pb
1 5 1
Direct
0.000 0.000 0.000
0.500 0.500 0.000
0.500 0.000 0.258
0.000 0.500 0.258
0.500 0.000 0.742
0.000 0.500 0.742
0.000 0.000 0.500
```

Output
- Space group: P4/mmm
- Formation energy: 78 meV per atom
- Size of the total moment: 0.0 μB/f.u.

Material: Sn2Hg7Pb2
Method: DFT, PBE-GGA
State: relaxed

The structure in POSCAR format:
```
Sn2Hg7Pb2
1.0
5.211 0.616 2.695
3.235 7.665 2.277
0.806 0.734 8.557
Sn Hg Pb
2 7 2
Direct
0.212 0.258 0.258
0.788 0.742 0.742
0.229 0.597 0.952
0.771 0.048 0.403
0.771 0.403 0.048
0.229 0.952 0.597
0.000 0.000 0.000
0.310 0.462 0.462
0.690 0.538 0.538
0.500 0.816 0.184
0.500 0.184 0.816
```

Output
- Space group: C2/m
- Formation energy: 74 meV per atom
- Size of the total moment: 0.0 μB/f.u.

Material: Sn2HgPb
Method: DFT, PBE-GGA
State: relaxed

The structure in POSCAR format:
```
Sn2HgPb
1.0
4.861 0.000 0.000
0.000 4.795 0.000
0.000 0.000 4.795
Pb Hg Sn
1 1 2
Direct
0.500 0.000 0.000
0.500 0.500 0.500
0.000 0.000 0.500
0.000 0.500 0.000
```

Output
- Space group: P4/mmm
- Formation energy: 44 meV per atom
- Size of the total moment: 0.0 μB/f.u.
- Offset from the most stable computed form: 6 meV per atom

Material: SnHgPb2
Method: DFT, PBE-GGA
State: relaxed

The structure in POSCAR format:
```
SnHgPb2
1.0
-4.512 0.557 -5.493
3.084 -5.597 3.163
-5.085 4.965 -0.570
Sn Hg Pb
1 1 2
Direct
0.000 0.000 0.000
0.500 0.000 0.500
0.247 0.000 0.247
0.753 0.000 0.753
```

Output
- Space group: Immm
- Formation energy: 110 meV per atom
- Size of the total moment: 0.0 μB/f.u.
- Offset from the most stable computed form: 88 meV per atom

Material: Sn5Hg2Pb12
Method: DFT, PBE-GGA
State: relaxed

The structure in POSCAR format:
```
Sn5Hg2Pb12
1.0
-3.302 0.285 6.115
2.912 -10.109 -1.912
7.704 -1.831 4.245
Sn Hg Pb
5 2 12
Direct
0.246 0.493 0.496
0.369 0.738 0.056
0.000 0.000 0.500
0.631 0.262 0.944
0.754 0.507 0.504
0.760 0.000 0.000
0.240 0.000 0.000
0.102 0.205 0.132
0.035 0.545 0.795
0.511 0.545 0.795
0.154 0.797 0.367
0.643 0.797 0.367
0.434 0.867 0.676
0.566 0.133 0.324
0.846 0.203 0.633
0.357 0.203 0.633
0.965 0.455 0.205
0.489 0.455 0.205
0.898 0.795 0.868
```

Output
- Space group: C2/m
- Formation energy: 77 meV per atom
- Size of the total moment: 0.0 μB/f.u.
- Offset from the most stable computed form: 25 meV per atom

Material: Sn4Hg3Pb8
Method: DFT, PBE-GGA
State: relaxed

The structure in POSCAR format:
```
Sn4Hg3Pb8
1.0
-0.899 -4.780 4.259
3.183 -3.183 -7.890
8.097 3.952 1.155
Sn Hg Pb
4 3 8
Direct
0.500 0.000 0.000
0.000 0.500 0.000
0.000 0.000 0.000
0.000 0.000 0.500
0.500 0.500 0.000
0.500 0.000 0.500
0.500 0.500 0.500
0.542 0.261 0.261
0.000 0.648 0.352
0.031 0.250 0.250
0.500 0.754 0.246
0.500 0.246 0.754
0.969 0.750 0.750
0.000 0.352 0.648
0.458 0.739 0.739
```

Output
- Space group: C2/m
- Formation energy: 110 meV per atom
- Size of the total moment: 0.0 μB/f.u.

Material: Sn3HgPb
Method: DFT, PBE-GGA
State: relaxed

The structure in POSCAR format:
```
Sn3HgPb
1.0
4.877 0.000 0.000
-2.439 7.518 -0.373
0.000 -1.187 9.081
Sn Hg Pb
6 2 2
Direct
0.059 0.118 0.231
0.941 0.882 0.769
0.708 0.416 0.756
0.292 0.584 0.244
0.898 0.797 0.410
0.102 0.203 0.590
0.146 0.293 0.955
0.854 0.707 0.045
0.328 0.655 0.620
0.672 0.345 0.380
```

Output
- Space group: C2/m
- Formation energy: 129 meV per atom
- Size of the total moment: 0.0 μB/f.u.
- Offset from the most stable computed form: 77 meV per atom

Material: SnHgPb
Method: DFT, PBE-GGA
State: relaxed

The structure in POSCAR format:
```
SnHgPb
1.0
5.089 0.000 0.000
2.545 4.407 0.000
2.545 1.469 4.155
Pb Hg Sn
1 1 1
Direct
0.000 0.000 0.000
0.250 0.250 0.250
0.500 0.500 0.500
```

Output
- Space group: F-43m
- Formation energy: 110 meV per atom
- Size of the total moment: 0.0 μB/f.u.
- Offset from the most stable computed form: 80 meV per atom

Material: Sn4Hg2Pb5
Method: DFT, PBE-GGA
State: relaxed

The structure in POSCAR format:
```
Sn4Hg2Pb5
1.0
3.478 -0.024 0.418
-0.093 8.494 1.567
3.906 3.290 11.944
Sn Hg Pb
4 2 5
Direct
0.415 0.177 0.724
0.875 0.286 0.082
0.585 0.823 0.276
0.125 0.714 0.918
0.302 0.363 0.465
0.698 0.637 0.535
0.034 0.905 0.645
0.966 0.095 0.355
0.793 0.454 0.804
0.500 0.000 0.000
0.207 0.546 0.196
```

Output
- Space group: P-1
- Formation energy: 32 meV per atom
- Size of the total moment: 0.0 μB/f.u.

Material: SnHg3Pb6
Method: DFT, PBE-GGA
State: relaxed

The structure in POSCAR format:
```
SnHg3Pb6
1.0
-1.576 -3.057 -0.183
4.984 -1.931 -10.632
6.072 -4.243 18.578
Sn Hg Pb
2 6 12
Direct
0.750 0.496 0.851
0.250 0.504 0.149
0.750 0.203 0.471
0.250 0.797 0.529
0.750 0.795 0.231
0.250 0.205 0.769
0.750 0.002 0.889
0.250 0.998 0.111
0.750 0.133 0.602
0.250 0.867 0.398
0.750 0.213 0.096
0.250 0.787 0.904
0.750 0.576 0.594
0.250 0.424 0.406
0.750 0.546 0.315
0.250 0.454 0.685
0.750 0.330 0.957
0.250 0.670 0.043
0.750 0.097 0.278
0.250 0.903 0.722
```

Output
- Space group: P2_1/m
- Formation energy: 52 meV per atom
- Size of the total moment: 0.0 μB/f.u.

Material: SnHg11Pb17
Method: DFT, PBE-GGA
State: relaxed

The structure in POSCAR format:
```
SnHg11Pb17
1.0
9.734 -0.003 -3.377
-4.804 8.466 -3.377
0.019 0.033 10.163
Sn Hg Pb
1 11 17
Direct
0.365 0.365 0.170
0.178 0.178 0.802
0.634 0.819 0.012
0.175 0.366 0.359
0.806 0.994 0.617
0.641 0.007 0.822
0.813 0.192 0.197
0.192 0.813 0.197
0.007 0.641 0.822
0.994 0.806 0.617
0.366 0.175 0.359
0.819 0.634 0.012
0.019 0.019 0.357
0.693 0.693 0.278
0.661 0.661 0.683
0.384 0.384 0.698
0.005 0.005 0.001
0.316 0.598 0.004
0.418 0.715 0.414
0.990 0.319 0.600
0.994 0.331 0.976
0.295 0.681 0.691
0.585 0.006 0.313
0.006 0.585 0.313
0.681 0.295 0.691
0.331 0.994 0.976
0.319 0.990 0.600
0.715 0.418 0.414
0.598 0.316 0.004
```

Output
- Space group: Cm
- Formation energy: 38 meV per atom
- Size of the total moment: 0.0 μB/f.u.

Material: Sn3HgPb7
Method: DFT, PBE-GGA
State: relaxed

The structure in POSCAR format:
```
Sn3HgPb7
1.0
-7.634 -0.543 2.524
-1.672 -3.602 -5.834
2.154 -3.438 5.775
Sn Hg Pb
3 1 7
Direct
0.777 0.485 0.515
0.777 0.485 0.969
0.777 0.031 0.515
0.434 0.333 0.667
0.109 0.163 0.837
0.109 0.163 0.326
0.105 0.667 0.333
0.473 0.836 0.164
0.473 0.328 0.164
0.473 0.836 0.672
0.109 0.674 0.837
```

Output
- Space group: P3m1
- Formation energy: 66 meV per atom
- Size of the total moment: 0.0 μB/f.u.

Material: Sn3Hg5Pb12
Method: DFT, PBE-GGA
State: relaxed

The structure in POSCAR format:
```
Sn3Hg5Pb12
1.0
-15.248 -0.863 3.520
7.820 -11.043 7.908
5.484 14.137 3.963
Sn Hg Pb
12 20 48
Direct
0.750 0.375 0.125
0.875 0.750 0.125
0.375 0.750 0.625
0.250 0.125 0.375
0.875 0.125 0.250
0.375 0.625 0.250
0.625 0.375 0.750
0.125 0.875 0.750
0.750 0.875 0.625
0.625 0.250 0.375
0.125 0.250 0.875
0.250 0.625 0.875
0.125 0.375 0.250
0.000 0.500 0.000
0.000 0.000 0.000
0.375 0.250 0.125
0.500 0.000 0.500
0.500 0.500 0.000
0.125 0.750 0.375
0.750 0.125 0.875
0.750 0.625 0.375
0.375 0.125 0.750
0.625 0.875 0.250
0.500 0.500 0.500
0.500 0.000 0.000
0.000 0.000 0.500
0.250 0.375 0.625
0.250 0.875 0.125
0.000 0.500 0.500
0.875 0.250 0.625
0.625 0.750 0.875
0.875 0.625 0.750
0.728 0.140 0.067
0.339 0.567 0.426
0.933 0.360 0.272
0.567 0.228 0.140
0.587 0.728 0.661
0.933 0.574 0.161
0.339 0.772 0.413
0.074 0.913 0.140
0.574 0.933 0.661
0.728 0.587 0.161
0.772 0.433 0.360
0.839 0.926 0.067
0.140 0.728 0.567
0.360 0.426 0.087
0.087 0.926 0.360
0.413 0.140 0.574
0.087 0.161 0.228
0.433 0.661 0.074
0.839 0.913 0.272
0.140 0.413 0.074
0.360 0.933 0.772
0.574 0.640 0.413
0.926 0.839 0.567
0.772 0.339 0.913
0.426 0.360 0.587
0.074 0.161 0.433
0.228 0.661 0.087
0.161 0.087 0.728
0.640 0.067 0.228
0.860 0.587 0.926
0.567 0.339 0.926
0.587 0.860 0.426
0.913 0.839 0.772
0.913 0.074 0.640
0.860 0.272 0.433
0.161 0.074 0.933
0.640 0.574 0.913
0.426 0.067 0.339
0.272 0.413 0.839
0.228 0.567 0.640
0.926 0.087 0.860
0.661 0.228 0.587
0.433 0.772 0.860
0.067 0.426 0.839
0.413 0.272 0.339
0.067 0.640 0.728
0.661 0.433 0.574
0.272 0.860 0.933
```

Output
- Space group: Ia-3d
- Formation energy: 160 meV per atom
- Size of the total moment: 0.0 μB/f.u.

Material: SnHg5Pb2
Method: DFT, PBE-GGA
State: relaxed

The structure in POSCAR format:
```
SnHg5Pb2
1.0
0.750 -3.888 -5.176
3.006 -3.178 4.760
-6.254 0.719 1.519
Sn Hg Pb
1 5 2
Direct
0.778 0.778 0.000
0.278 0.278 0.501
0.278 0.778 0.000
0.778 0.278 0.000
0.778 0.778 0.500
0.278 0.277 0.000
0.278 0.778 0.500
0.778 0.278 0.500
```

Output
- Space group: P1
- Formation energy: 57 meV per atom
- Size of the total moment: 0.0 μB/f.u.